(1)
# RbHfF3 | Alexandria | PBE | relaxed
data_RbHfF3
_chemical_formula_sum 'Rb1 Hf1 F3'
_space_group_name_H-M_alt 'P m -3 m'
_space_group_IT_number 221
_space_group_name_Hall '-P 4 2 3'
_cell_length_a 4.8160
_cell_length_b 4.8160
_cell_length_c 4.8160
_cell_angle_alpha 90.00
_cell_angle_beta 90.00
_cell_angle_gamma 90.00
loop_
_atom_site_label
_atom_site_type_symbol
_atom_site_fract_x
_atom_site_fract_y
_atom_site_fract_z
Rb1 Rb 0.0000 0.0000 0.0000
Hf1 Hf 0.5000 0.5000 0.5000
F1 F 0.0000 0.0000 0.5000
# D(E_F)   2.07 states/eV per atom
# Energy relative to the elements, uncorrected   -3.91 eV/f.u.

(2)
# RbHf3F | Alexandria | PBE | relaxed
data_RbHf3F
_chemical_formula_sum 'Rb1 Hf3 F1'
_space_group_name_H-M_alt 'P m -3 m'
_space_group_IT_number 221
_space_group_name_Hall '-P 4 2 3'
_cell_length_a 4.8225
_cell_length_b 4.8225
_cell_length_c 4.8225
_cell_angle_alpha 90.00
_cell_angle_beta 90.00
_cell_angle_gamma 90.00
loop_
_atom_site_label
_atom_site_type_symbol
_atom_site_fract_x
_atom_site_fract_y
_atom_site_fract_z
Rb1 Rb 0.0000 0.0000 0.0000
Hf1 Hf 0.0000 0.5000 0.5000
F1 F 0.5000 0.5000 0.5000
# D(E_F)   1.56 states/eV per atom
# Energy relative to the elements, uncorrected   2.15 eV/f.u.